Arrangement w

Computed, not measured: an optimized crystal structure of ZnIn2Ag2 at the PBE-GGA level of DFT.

Summary:
As for the density of states at the Fermi level: 4.338 states/eV per cell. The total magnetization comes out at 0.00 Bohr magnetons per cell. The crystal system is tetragonal. As for the volume: 107.3 Å³/f.u.

Cell: 7.0591 7.0591 4.3077 Å, 90.00 90.00 90.00°
With the nearest neighbours (Å) after each atom.
Space group P4/mbm (No. 127)
One atom of each set of equivalent atoms:
1 Zn 0.0000 0.0000 0.0000 x2  4 Ag 2.71
2 In 0.1632 0.3368 0.5000 x4  6 Ag 2.88-3.06
3 Ag 0.1449 0.6449 0.0000 x4  2 Zn 2.71, 2 In 2.88, 1 Ag 2.89

=====

Arrangement x

Computed, not measured: an optimized crystal structure of ZnIn2Ag2 at the PBE-GGA level of DFT.

Summary:
As for the density of states at the Fermi level: 6.856 states/eV per cell. The total magnetization comes out at 0.00 Bohr magnetons per cell. The crystal system is monoclinic. As for the volume: 102.8 Å³/f.u.

Cell: 10.2492 5.5510 7.3992 Å, 90.00 102.34 90.00°
With the nearest neighbours (Å) after each atom.
Space group C2/c (No. 15)
One atom of each set of equivalent atoms:
1 Zn 0.0000 0.2436 0.2500 x4  4 Ag 2.69-2.76, 2 In 2.88
2 In 0.1554 0.3731 0.6377 x8  2 Zn 2.88-3.05, 5 Ag 2.93-3.12
3 Ag 0.1229 0.1230 0.9759 x8  2 Zn 2.69-2.76, 2 Ag 2.92-2.95, 3 In 2.93-2.99

=====

Arrangement y

Computed, not measured: an optimized crystal structure of ZnIn2Ag2 at the PBE-GGA level of DFT.

Summary:
As for the density of states at the Fermi level: 3.455 states/eV per cell. The total magnetization comes out at 0.00 Bohr magnetons per cell. The crystal system is tetragonal. As for the volume: 111.6 Å³/f.u.

Cell: 3.9248 3.9248 14.4854 Å, 90.00 90.00 90.00°
With the nearest neighbours (Å) after each atom.
Space group I4/mmm (No. 139)
One atom of each set of equivalent atoms:
1 Zn 0.0000 0.0000 0.0000 x2  8 In 3.13
2 In 0.0000 0.0000 0.4008 x4  1 In 2.88, 4 Ag 2.94, 4 Zn 3.13
3 Ag 0.0000 0.5000 0.2500 x4  4 Ag 2.78, 4 In 2.94

=====

Arrangement z

Computed, not measured: an optimized crystal structure of ZnIn2Ag2 at the PBE-GGA level of DFT.

Summary:
As for the density of states at the Fermi level: 3.480 states/eV per cell. The total magnetization comes out at 0.00 Bohr magnetons per cell. The crystal system is tetragonal. As for the volume: 110.1 Å³/f.u.

Cell: 8.5264 8.5264 3.0290 Å, 90.00 90.00 90.00°
With the nearest neighbours (Å) after each atom.
Space group P4/mbm (No. 127)
One atom of each set of equivalent atoms:
1 Zn 0.0000 0.0000 0.0000 x2  2 Zn 3.03, 4 In 3.13
2 In 0.1800 0.3200 0.0000 x4  6 Ag 2.86-3.01, 2 In 3.03, 2 Zn 3.13
3 Ag 0.1187 0.6187 0.5000 x4  6 In 2.86-3.01, 3 Ag 2.86-3.03

=====

Least stable: arrangement y

=====

Arrangement w

Computed, not measured: an optimized crystal structure of ZnIn2Ag8 at the PBE-GGA level of DFT.

Summary:
As for the density of states at the Fermi level: 4.019 states/eV per cell. The total magnetization comes out at 0.00 Bohr magnetons per cell. The crystal system is monoclinic. As for the volume: 203.1 Å³/f.u.

Cell: 15.0581 4.2354 6.6391 Å, 90.00 106.44 90.00°
With the nearest neighbours (Å) after each atom.
Space group C2/m (No. 12)
One atom of each set of equivalent atoms:
1 Zn 0.0000 0.0000 0.0000 x2  12 Ag 2.87-2.95
2 In 0.2216 0.5000 0.6465 x4  10 Ag 2.90-3.09, 2 In 3.15
3 Ag 0.0421 0.5000 0.7311 x4  9 Ag 2.88-3.06, 1 In 2.91, 2 Zn 2.95
4 Ag 0.0879 0.0000 0.4434 x4  1 Zn 2.87, 8 Ag 2.89-3.06, 3 In 2.97-3.09
5 Ag 0.1341 0.5000 0.1788 x4  7 Ag 2.88-3.09, 2 Zn 2.94, 3 In 3.01-3.02
6 Ag 0.1761 0.0000 0.9128 x4  1 Zn 2.87, 3 In 2.90-2.96, 8 Ag 2.94-3.09

=====

Arrangement x

Computed, not measured: an optimized crystal structure of ZnIn2Ag8 at the PBE-GGA level of DFT.

Summary:
As for the density of states at the Fermi level: 9.411 states/eV per cell. The total magnetization comes out at 0.00 Bohr magnetons per cell. The crystal system is monoclinic. As for the volume: 234.8 Å³/f.u.

Cell: 10.5768 9.2486 5.0595 Å, 90.00 108.39 90.00°
With the nearest neighbours (Å) after each atom.
Space group C2/m (No. 12)
One atom of each set of equivalent atoms:
1 Zn 0.0000 0.0000 0.0000 x2  2 In 2.68, 6 Ag 2.68-2.76
2 In 0.1544 0.0000 0.5339 x4  1 Zn 2.68, 5 Ag 2.78-2.88
3 Ag 0.0683 0.5000 0.2936 x4  1 In 2.78, 7 Ag 2.82-3.02
4 Ag 0.0825 0.2424 0.8128 x8  1 Zn 2.68, 3 Ag 2.79-2.95, 1 In 2.88
5 Ag 0.2271 0.5000 0.8913 x4  1 Zn 2.76, 2 In 2.78-2.81, 7 Ag 2.79-3.07

=====

Least stable: arrangement x

=====

Arrangement w

Computed, not measured: an optimized crystal structure of Zn2In2Ag at the PBE-GGA level of DFT.

Summary:
As for the density of states at the Fermi level: 8.804 states/eV per cell. The total magnetization comes out at 0.00 Bohr magnetons per cell. The crystal system is monoclinic. As for the volume: 105.8 Å³/f.u.

Cell: 11.1793 6.8215 5.7667 Å, 90.00 105.79 90.00°
With the nearest neighbours (Å) after each atom.
Space group C2/c (No. 15)
One atom of each set of equivalent atoms:
1 Zn 0.1521 0.2473 0.0783 x8  1 Zn 2.59, 2 Ag 2.76, 2 In 2.84-2.87
2 In 0.1211 0.3395 0.5609 x8  5 Zn 2.84-3.01, 2 Ag 3.01-3.04
3 Ag 0.0000 0.0017 0.2500 x4  4 Zn 2.76, 2 Ag 2.88, 4 In 3.01-3.04

=====

Arrangement x

Computed, not measured: an optimized crystal structure of Zn2In2Ag at the PBE-GGA level of DFT.

Summary:
As for the density of states at the Fermi level: 3.907 states/eV per cell. The total magnetization comes out at 0.00 Bohr magnetons per cell. The crystal system is tetragonal. As for the volume: 111.3 Å³/f.u.

Cell: 4.2157 4.2157 12.5245 Å, 90.00 90.00 90.00°
With the nearest neighbours (Å) after each atom.
Space group I4/mmm (No. 139)
One atom of each set of equivalent atoms:
1 Zn 0.0000 0.0000 0.0946 x4  1 Zn 2.37
2 In 0.0000 0.5000 0.2500 x4  4 Zn 2.87, 4 In 2.98
3 Ag 0.0000 0.0000 0.5000 x2  8 Zn 3.21

=====

Least stable: arrangement x

=====

Arrangement w

Computed, not measured: an optimized crystal structure of Zn2In2Ag at the PBE-GGA level of DFT.

Summary:
As for the density of states at the Fermi level: 2.725 states/eV per cell. The total magnetization comes out at 0.00 Bohr magnetons per cell. The crystal system is tetragonal. As for the volume: 108.0 Å³/f.u.

Cell: 7.8139 7.8139 3.5387 Å, 90.00 90.00 90.00°
With the nearest neighbours (Å) after each atom.
Space group P4/mbm (No. 127)
One atom of each set of equivalent atoms:
1 Zn 0.1190 0.3810 0.0000 x4  1 Zn 2.63, 2 In 2.83
2 In 0.1812 0.6812 0.5000 x4  6 Zn 2.83-2.98, 2 Ag 2.87
3 Ag 0.0000 0.0000 0.5000 x2  4 In 2.87

=====

Arrangement x

Computed, not measured: an optimized crystal structure of Zn2In2Ag at the PBE-GGA level of DFT.

Summary:
As for the density of states at the Fermi level: 3.897 states/eV per cell. The total magnetization comes out at 0.00 Bohr magnetons per cell. The crystal system is tetragonal. As for the volume: 107.4 Å³/f.u.

Cell: 3.6265 3.6265 16.3264 Å, 90.00 90.00 90.00°
With the nearest neighbours (Å) after each atom.
Space group I4/mmm (No. 139)
One atom of each set of equivalent atoms:
1 Zn 0.0000 0.5000 0.2500 x4  4 Zn 2.56
2 In 0.0000 0.0000 0.1024 x4  4 Zn 3.02, 4 Ag 3.06, 1 In 3.34
3 Ag 0.0000 0.0000 0.5000 x2  8 In 3.06

=====

Least stable: arrangement w